Record 1
The following is a DFT calculation (PBE) of a relaxed LiYPb crystal.

Geometry as CIF:
```
data_LiYPb
_chemical_formula_sum 'Li4 Y4 Pb4'
_symmetry_space_group_name_H-M 'P n m a'
_symmetry_Int_Tables_number 62
_symmetry_space_group_name_Hall '-P 2ac 2n'
_cell_length_a 7.441
_cell_length_b 4.730
_cell_length_c 8.245
_cell_angle_alpha 90.00
_cell_angle_beta 90.00
_cell_angle_gamma 90.00
loop_
_atom_site_label
_atom_site_type_symbol
_atom_site_fract_x
_atom_site_fract_y
_atom_site_fract_z
Li1 Li 0.189 0.250 0.079
Y1 Y 0.003 0.250 0.723
Pb1 Pb 0.234 0.750 0.911
```

**Total energy**: -54.8 eV for the cell shown
**DFT formation energy**: -542 meV/atom
**ρ**: 6.936 Mg/m³


Record 2
The following is a DFT calculation (PBE) of a relaxed NpInAu4 crystal.

Geometry as CIF:
```
data_NpInAu4
_chemical_formula_sum 'Np1 In1 Au4'
_symmetry_space_group_name_H-M 'P 1 2/m 1'
_symmetry_Int_Tables_number 10
_symmetry_space_group_name_Hall '-P 2y'
_cell_length_a 3.057
_cell_length_b 4.928
_cell_length_c 8.380
_cell_angle_alpha 90.00
_cell_angle_beta 98.27
_cell_angle_gamma 90.00
loop_
_atom_site_label
_atom_site_type_symbol
_atom_site_fract_x
_atom_site_fract_y
_atom_site_fract_z
Np1 Np 0.000 0.000 0.000
In1 In 0.000 0.500 0.500
Au1 Au 0.338 0.000 0.660
Au2 Au 0.437 0.500 0.832
```

**Total energy**: -29.7 eV for the cell shown
**DFT formation energy**: -155 meV/atom
**ρ**: 15.146 Mg/m³
**Polymorph energy (0 for the lowest one)**: 0.000 eV/atom


Record 3
The following is a DFT calculation (PBE) of a relaxed Te2RhF crystal.

Geometry as CIF:
```
data_Te2RhF
_chemical_formula_sum 'Te6 Rh3 F3'
_symmetry_space_group_name_H-M 'R -3 m'
_symmetry_Int_Tables_number 166
_symmetry_space_group_name_Hall '-R 3 2"'
_cell_length_a 4.1439
_cell_length_b 4.1439
_cell_length_c 21.0608
_cell_angle_alpha 90.00
_cell_angle_beta 90.00
_cell_angle_gamma 120.00
loop_
_atom_site_label
_atom_site_type_symbol
_atom_site_fract_x
_atom_site_fract_y
_atom_site_fract_z
Te1 Te 0.0000 0.0000 0.1095
Rh1 Rh 0.0000 0.0000 0.5000
F1 F 0.0000 0.0000 0.0000
```

**Formation energy without anion corrections**: -0.748 eV/atom
**Total energy**: -55.5 eV for the cell shown
**ρ**: 5.998 Mg/m³
**Polymorph energy (0 for the lowest one)**: 0.000 eV/atom


| no. | density of states at the Fermi level (states/eV/atom) |
| --- | --- |
| 1 | 0.15 |
| 2 | 1.26 |
| 3 | 0.66 |